Material: PAuC2
Method: DFT, PBE-GGA
State: optimized geometry

Computed properties:
E_tot in eV/atom: -5.957

Lattice parameters (Å, degrees): 2.8264 3.1449 5.7386 95.23 90.72 95.44
Last column: nearest neighbours and their distance in Å.
Space group P1 (No. 1)
Inequivalent atoms, fractional coordinates:
P (0.0000, 0.0000, 0.0000) [1 per cell]  3 C 1.84-1.85
Au (0.2448, 0.0913, 0.3971) [1 per cell]  1 C 2.12, 1 P 2.36
C (0.2864, 0.2792, 0.7614) [1 per cell]  2 C 1.58-1.64
C (0.7973, 0.4610, 0.8625) [1 per cell]  2 C 1.58-1.64

=====

Material: AcThSc
Method: DFT, PBE-GGA
State: optimized geometry

Computed properties:
ΔE to the lowest computed polymorph in meV/atom: 27.6
E_tot in eV/atom: -5.800

Lattice parameters (Å, degrees): 3.6414 3.6414 8.6877 90.00 90.00 120.00
Last column: nearest neighbours and their distance in Å.
Space group P3m1 (No. 156)
Inequivalent atoms, fractional coordinates:
Ac (0.0000, 0.0000, 0.0000) [1 per cell]  6 Ac 3.64, 3 Sc 3.65, 3 Th 3.72
Th (0.3333, 0.6667, 0.6461) [1 per cell]  3 Sc 3.37, 6 Th 3.64, 3 Ac 3.72
Sc (0.6667, 0.3333, 0.3428) [1 per cell]  3 Th 3.37, 6 Sc 3.64, 3 Ac 3.65

=====

Calculated volume? In order: 12.64 33.25 Å³/atom.
Formation enthalpy at 0 K? In order: 0.827 0.154 eV/atom.